! Al2CoCu (PBE-GGA, optimized geometry); values from VASP
! **Formation energy**: -0.345 eV per atom
! **Total magnetic moment**: 0.38 Bohr magnetons per cell
&SYSTEM
  ibrav = 0, nat = 4, ntyp = 3
/
ATOMIC_SPECIES
Co 58.93 Co.upf
Al 26.98 Al.upf
Cu 63.55 Cu.upf
CELL_PARAMETERS angstrom
-1.158 1.583 -4.238
-0.197 -1.126 -4.528
-3.864 -1.288 -0.781
ATOMIC_POSITIONS crystal
Co 0.502 0.502 0.447
Al 0.006 0.006 0.952
Al 0.237 0.237 0.309
Cu 0.754 0.754 0.792